Material: InAgB4
Method: DFT, PBE
State: optimized geometry

Cell lengths 3.1265, 3.1265, 7.7526 Å; angles 90.00, 90.00, 120.00 degrees
Fractional positions:
Ag  0.0000  0.0000  0.5000
B  0.6667  0.3333  0.2484
B  0.3333  0.6667  0.2484
B  0.6667  0.3333  0.7516
B  0.3333  0.6667  0.7516
In  0.0000  0.0000  0.0000

Density ... 6728 kg/m³
V ... 10.9 A^3/atom
SG ... P6/mmm
Relative energy among the computed polymorphs ... 0.03 eV/f.u.